Entry A
AlRuI2: relaxed, PBE.

The structure belongs to space group I-42d (No. 122); the cell edges are 6.877, 6.877 and 11.654 Å and the angles 90.00°, 90.00° and 90.00°. The asymmetric unit holds Al at (0.000, 0.000, 0.000), Ru at (0.000, 0.000, 0.500) and I at (0.186, 0.250, 0.625).

As for the density of states at the Fermi level: 3.51 states/eV/f.u.

Entry B
AlRuI2: relaxed, PBE.

The structure belongs to space group Fm-3m (No. 225); the cell edges are 7.369, 7.369 and 7.369 Å and the angles 90.00°, 90.00° and 90.00°. The asymmetric unit holds Al at (0.000, 0.000, 0.000), Ru at (0.000, 0.000, 0.500) and I at (0.250, 0.250, 0.250).

As for the density of states at the Fermi level: 0.23 states/eV/f.u.

In terms of stability, entry A leads; the second structure lies 133 meV/atom higher.